Record 1
A relaxed structure of NaLi2Er, computed with PBE-GGA.

```
NaLi2Er
1.0
-2.430 0.182 -2.182
-1.737 -2.671 -0.741
-9.101 1.744 7.829
Na Li Er
1 2 1
Direct
0.500 0.500 0.500 Na
0.915 0.915 0.256 Li
0.085 0.085 0.744 Li
0.000 0.000 0.000 Er
```

Results
The value obtained for the formation energy from the elements is 0.87 eV/f.u. Its energy above the lowest structure with this stoichiometry is 0.060 eV/atom. As for the space group: No. 166. The theoretical density comes out at 3.1 g cm⁻³. For the density of states at the Fermi level, the calculation gives 2.92 states/eV per cell. Its size of the total moment is 0.0 μB/cell. The calculation puts the electronic total energy at -0.1624 Ry per atom.

Record 2
A relaxed structure of NaLiEr2Se4, computed with PBE-GGA.

```
NaLiEr2Se4
1.0
4.081 0.000 0.000
0.000 7.066 0.123
0.000 -2.477 6.716
Se Li Er Na
4 1 2 1
Direct
0.000 0.758 0.263 Se
0.500 0.750 0.740 Se
0.000 0.242 0.737 Se
0.500 0.250 0.260 Se
0.000 0.000 0.000 Li
0.000 0.500 0.500 Er
0.500 0.000 0.500 Er
0.500 0.500 0.000 Na
```

Results
As for the space group: No. 10. The theoretical density comes out at 5.8 g cm⁻³. For the density of states at the Fermi level, the calculation gives 0.00 states/eV per cell. Its size of the total moment is 0.0 μB/cell. Its formation energy without anion corrections is -13.5 eV/f.u. The calculation puts the electronic total energy at -0.3658 Ry per atom.

Record 3
A relaxed structure of NaLiErSn, computed with PBE-GGA.

```
NaLiErSn
1.0
5.181 0.000 0.000
2.590 4.487 0.000
2.590 1.496 4.230
Sn Li Na Er
1 1 1 1
Direct
0.250 0.250 0.250 Sn
0.750 0.750 0.750 Li
0.500 0.500 0.500 Na
0.000 0.000 0.000 Er
```

Results
The value obtained for the formation energy from the elements is -0.96 eV/f.u. As for the space group: No. 216. The theoretical density comes out at 5.3 g cm⁻³. For the density of states at the Fermi level, the calculation gives 2.77 states/eV per cell. Its size of the total moment is 0.0 μB/cell. The calculation puts the electronic total energy at -0.2345 Ry per atom.

Record 4
A relaxed structure of LiEr2Nb, computed with PBE-GGA.

```
LiEr2Nb
1.0
3.355 0.000 0.000
0.000 3.355 0.000
0.000 0.000 8.746
Er Li Nb
2 1 1
Direct
0.000 0.000 0.231 Er
0.000 0.000 0.769 Er
0.500 0.500 0.500 Li
0.500 0.500 0.000 Nb
```

Results
The value obtained for the formation energy from the elements is 0.78 eV/f.u. Its energy above the lowest structure with this stoichiometry is 0.000 eV/atom. As for the space group: No. 123. The theoretical density comes out at 7.3 g cm⁻³. For the density of states at the Fermi level, the calculation gives 5.72 states/eV per cell. Its size of the total moment is 0.0 μB/cell. The calculation puts the electronic total energy at -0.3735 Ry per atom.

Record 5
A relaxed structure of LiEr2Nb, computed with PBE-GGA.

```
LiEr2Nb
1.0
3.151 0.000 0.000
1.576 2.729 0.000
1.576 0.910 11.459
Li Nb Er
1 1 2
Direct
0.500 0.500 0.500 Li
0.000 0.000 0.000 Nb
0.915 0.915 0.254 Er
0.085 0.085 0.746 Er
```

Results
The value obtained for the formation energy from the elements is 2.18 eV/f.u. Its energy above the lowest structure with this stoichiometry is 0.350 eV/atom. As for the space group: No. 166. The theoretical density comes out at 7.3 g cm⁻³. For the density of states at the Fermi level, the calculation gives 5.17 states/eV per cell. Its size of the total moment is 0.0 μB/cell. The calculation puts the electronic total energy at -0.3478 Ry per atom.

Record 6
A relaxed structure of LiErNbOs, computed with PBE-GGA.

```
LiErNbOs
1.0
-0.228 4.351 1.635
-2.939 3.056 -1.919
-3.759 1.407 2.355
Li Os Nb Er
1 1 1 1
Direct
0.000 0.000 0.000 Li
0.500 0.500 0.500 Os
0.750 0.750 0.750 Nb
0.250 0.250 0.250 Er
```

Results
The value obtained for the formation energy from the elements is -0.35 eV/f.u. As for the space group: No. 216. The theoretical density comes out at 10.7 g cm⁻³. For the density of states at the Fermi level, the calculation gives 2.07 states/eV per cell. Its size of the total moment is 0.0 μB/cell. The calculation puts the electronic total energy at -0.5168 Ry per atom.

Record 7
A relaxed structure of Li3Er3NbS8, computed with PBE-GGA.

```
Li3Er3NbS8
1.0
7.625 0.000 0.000
-3.813 6.603 -0.024
0.000 -4.382 6.188
S Er Nb Li
8 3 1 3
Direct
0.764 0.528 0.261 S
0.764 0.997 0.261 S
0.236 0.003 0.739 S
0.751 0.501 0.752 S
0.767 0.003 0.739 S
0.233 0.997 0.261 S
0.249 0.499 0.248 S
0.236 0.472 0.739 S
0.500 0.500 0.500 Er
0.500 0.000 0.500 Er
0.000 0.500 0.500 Er
0.000 0.000 0.500 Nb
0.000 0.000 0.000 Li
0.500 0.500 0.000 Li
0.000 0.500 0.000 Li
```

Results
As for the space group: No. 166. The theoretical density comes out at 4.7 g cm⁻³. For the density of states at the Fermi level, the calculation gives 4.01 states/eV per cell. Its size of the total moment is 1.0 μB/cell. Its formation energy without anion corrections is -24.6 eV/f.u. The calculation puts the electronic total energy at -0.4267 Ry per atom.

Record 8
A relaxed structure of LiErNbTc, computed with PBE-GGA.

```
LiErNbTc
1.0
4.668 0.000 0.000
2.334 4.043 0.000
2.334 1.348 3.811
Tc Nb Er Li
1 1 1 1
Direct
0.750 0.750 0.750 Tc
0.000 0.000 0.000 Nb
0.500 0.500 0.500 Er
0.250 0.250 0.250 Li
```

Results
The value obtained for the formation energy from the elements is 0.13 eV/f.u. As for the space group: No. 216. The theoretical density comes out at 8.4 g cm⁻³. For the density of states at the Fermi level, the calculation gives 4.74 states/eV per cell. Its size of the total moment is 0.0 μB/cell. The calculation puts the electronic total energy at -0.4921 Ry per atom.

Record 9
A relaxed structure of LiNd2Er, computed with PBE-GGA.

```
LiNd2Er
1.0
3.516 0.000 0.000
1.758 3.045 0.000
1.758 1.015 12.373
Er Nd Li
1 2 1
Direct
0.500 0.500 0.500 Er
0.911 0.911 0.268 Nd
0.089 0.089 0.732 Nd
0.000 0.000 0.000 Li
```

Results
The value obtained for the formation energy from the elements is 0.63 eV/f.u. Its energy above the lowest structure with this stoichiometry is 0.092 eV/atom. As for the space group: No. 166. The theoretical density comes out at 5.8 g cm⁻³. For the density of states at the Fermi level, the calculation gives 5.18 states/eV per cell. Its size of the total moment is 0.0 μB/cell. The calculation puts the electronic total energy at -0.2827 Ry per atom.

Record 10
A relaxed structure of LiNd2Er, computed with PBE-GGA.

```
LiNd2Er
1.0
3.541 0.000 0.000
-1.771 3.067 0.000
0.000 0.000 11.889
Li Nd Er
1 2 1
Direct
0.667 0.333 0.524 Li
0.667 0.333 0.249 Nd
0.333 0.667 0.764 Nd
0.000 0.000 0.008 Er
```

Results
The value obtained for the formation energy from the elements is 0.46 eV/f.u. Its energy above the lowest structure with this stoichiometry is 0.050 eV/atom. As for the space group: No. 156. The theoretical density comes out at 6.0 g cm⁻³. For the density of states at the Fermi level, the calculation gives 4.07 states/eV per cell. Its size of the total moment is 0.0 μB/cell. The calculation puts the electronic total energy at -0.2857 Ry per atom.

Record 11
A relaxed structure of LiNdEr2, computed with PBE-GGA.

```
LiNdEr2
1.0
-2.285 -0.935 2.754
-3.923 -1.522 -3.771
2.087 -5.251 -0.051
Er Nd Li
2 1 1
Direct
0.000 0.500 0.000 Er
0.000 0.000 0.500 Er
0.500 0.000 0.000 Nd
0.500 0.500 0.500 Li
```

Results
The value obtained for the formation energy from the elements is 0.76 eV/f.u. Its energy above the lowest structure with this stoichiometry is 0.109 eV/atom. As for the space group: No. 123. The theoretical density comes out at 6.8 g cm⁻³. For the density of states at the Fermi level, the calculation gives 5.89 states/eV per cell. Its size of the total moment is 0.0 μB/cell. The calculation puts the electronic total energy at -0.2765 Ry per atom.

Record 12
A relaxed structure of LiNd2Er, computed with PBE-GGA.

```
LiNd2Er
1.0
3.647 0.000 0.000
0.000 3.647 0.000
0.000 0.000 9.174
Nd Li Er
2 1 1
Direct
0.000 0.000 0.769 Nd
0.000 0.000 0.231 Nd
0.500 0.500 0.000 Li
0.500 0.500 0.500 Er
```

Results
The value obtained for the formation energy from the elements is 0.26 eV/f.u. Its energy above the lowest structure with this stoichiometry is 0.000 eV/atom. As for the space group: No. 123. The theoretical density comes out at 6.3 g cm⁻³. For the density of states at the Fermi level, the calculation gives 5.76 states/eV per cell. Its size of the total moment is 0.0 μB/cell. The calculation puts the electronic total energy at -0.2894 Ry per atom.